CsDyV2O6 (PBE with a Hubbard U, optimized geometry); final energy = -7.37 eV/atom
1.0
7.462 0.754 0.627
-0.165 7.498 0.627
-1.378 -1.559 5.743
V O Cs Dy
4 12 2 2
direct
0.134 0.313 0.328 V
0.687 0.866 0.172 V
0.313 0.134 0.828 V
0.866 0.687 0.672 V
0.177 0.169 0.059 O
0.670 0.546 0.613 O
0.609 0.096 0.231 O
0.831 0.823 0.441 O
0.454 0.330 0.887 O
0.169 0.177 0.559 O
0.096 0.609 0.731 O
0.823 0.831 0.941 O
0.330 0.454 0.387 O
0.904 0.391 0.269 O
0.391 0.904 0.769 O
0.546 0.670 0.113 O
0.822 0.178 0.750 Cs
0.178 0.822 0.250 Cs
0.599 0.401 0.250 Dy
0.401 0.599 0.750 Dy